DFT (PBE) results for crystalline AlAg5 at its relaxed geometry.

abc: 4.0214 5.8345 8.9221
angles: 90.00 90.00 90.00
Fractional coordinates of all 12 atoms:
Ag (0.7500, 0.1292, 0.5879)
Ag (0.2500, 0.3788, 0.4155)
Ag (0.7500, 0.1292, 0.9121)
Ag (0.7500, 0.6212, 0.9155)
Ag (0.2500, 0.8708, 0.4121)
Ag (0.7500, 0.1270, 0.2500)
Ag (0.7500, 0.6212, 0.5845)
Ag (0.2500, 0.3788, 0.0845)
Ag (0.2500, 0.8708, 0.0879)
Ag (0.2500, 0.8730, 0.7500)
Al (0.7500, 0.6210, 0.2500)
Al (0.2500, 0.3790, 0.7500)

Computed properties:
Offset from the most stable computed form = 0.000 eV per atom
Uncorrected energy = -3.027 eV/atom
Formation enthalpy at 0 K = -2.6 kJ/mol of atoms

---

DFT (PBE) results for crystalline InNi2Pd2 at its relaxed geometry.

abc: 3.3554 3.3554 7.3459
angles: 76.80 76.80 90.00
Each line ends with the local moment (μB).
Fractional coordinates of all 5 atoms:
Ni (0.7500, 0.2500, 0.5000)  0.48
Ni (0.2500, 0.7500, 0.5000)  0.48
Pd (0.3948, 0.3948, 0.2105)  0.03
Pd (0.6052, 0.6052, 0.7895)  0.03
In (0.0000, 0.0000, 0.0000)  -0.01

Computed properties:
Offset from the most stable computed form = 0.020 eV per atom
Uncorrected energy = -4.935 eV/atom
Formation enthalpy at 0 K = 0.2 kJ/mol of atoms